Density functional theory data (GGA-PBE) for a relaxed structure of Ir2PbF8.

Calculated values
Energy relative to the elements, uncorrected   -1.502 eV per atom
V   165.15 Å³ per cell

abc: 4.0763 7.3988 7.2597
angles: 126.71 89.84 74.35
Last column: magnetic moment on the atom in μB.
Fractional positions:
F1 0.1128 0.7738 0.4268  0.03
F2 0.8872 0.2262 0.5732  0.03
F3 0.3473 0.3036 0.9065  0.04
F4 0.2169 0.5688 0.7349  0.05
F5 0.7831 0.4312 0.2651  0.05
F6 0.4294 0.1410 0.2789  0.02
F7 0.6527 0.6964 0.0935  0.04
F8 0.5706 0.8590 0.7210  0.02
Pb1 0.0000 0.0000 0.0000  0.00
Ir1 0.3945 0.2111 0.5944  0.82
Ir2 0.6055 0.7889 0.4056  0.82